# PBE Zn3Co, relaxed
# - crystal system = cubic
# - ΔH_f (0 K) (eV/atom) = -0.040
# - total energy (eV per atom) = -2.772
# - N(E_F) (states/eV/atom) = 0.735
data_Zn3Co
_symmetry_space_group_name_H-M 'P m -3 m'
_symmetry_Int_Tables_number 221
_symmetry_space_group_name_Hall '-P 4 2 3'
_cell_length_a 3.733
_cell_length_b 3.733
_cell_length_c 3.733
_cell_angle_alpha 90.00
_cell_angle_beta 90.00
_cell_angle_gamma 90.00
loop_
_atom_site_label
_atom_site_fract_x
_atom_site_fract_y
_atom_site_fract_z
Zn1 0.000 0.000 0.500
Co1 0.500 0.500 0.500